DyZrPtAu | GGA-PBE | optimized geometry

Cell lengths 4.904, 4.904, 4.904 Å; angles 60.00, 60.00, 60.00 degrees
Positions (direct):
Dy  0.000  0.000  0.000
Zr  0.500  0.500  0.500
Pt  0.750  0.750  0.750
Au  0.250  0.250  0.250

The calculation puts the formation energy at -809 meV/atom. The crystal system is cubic. The space-group type is F-43m.

=====

CeReRh | GGA-PBE | optimized geometry

Cell lengths 14.701, 2.867, 2.867 Å; angles 59.56, 90.00, 90.00 degrees
Positions (direct):
Ce  0.180  0.000  0.000
Ce  0.820  0.000  0.000
Re  0.000  0.208  0.208
Re  0.500  0.108  0.108
Rh  0.357  0.443  0.443
Rh  0.643  0.443  0.443

The calculation puts the formation energy at 114 meV/atom. The crystal system is orthorhombic. The space-group type is Amm2.

=====

LaV2In2 | GGA-PBE | optimized geometry

Cell lengths 8.331, 8.331, 3.140 Å; angles 90.00, 90.00, 90.00 degrees
Positions (direct):
La  0.000  0.000  0.000
La  0.500  0.500  0.000
V  0.084  0.416  0.000
V  0.416  0.916  0.000
V  0.584  0.084  0.000
V  0.916  0.584  0.000
In  0.196  0.696  0.500
In  0.304  0.196  0.500
In  0.696  0.804  0.500
In  0.804  0.304  0.500

The calculation puts the formation energy at 135 meV/atom. The crystal system is tetragonal. The space-group type is P4/mbm.

=====

BaGaNi3 | GGA-PBE | optimized geometry

Cell lengths 4.622, 4.622, 4.622 Å; angles 90.00, 90.00, 90.00 degrees
Positions (direct):
Ba  0.000  0.000  0.000
Ga  0.500  0.500  0.500
Ni  0.000  0.500  0.500
Ni  0.500  0.000  0.500
Ni  0.500  0.500  0.000

The calculation puts the formation energy at 216 meV/atom. The crystal system is cubic. The space-group type is Pm-3m.

=====

GeBr2O | GGA-PBE | optimized geometry

Cell lengths 7.400, 7.400, 3.254 Å; angles 102.33, 102.33, 42.46 degrees
Positions (direct):
Ge  0.000  0.000  0.000
Br  0.091  0.622  0.861
Br  0.378  0.909  0.139
O  0.835  0.165  0.500

The calculation puts the energy relative to the elements, uncorrected at -0.75 eV/atom. The crystal system is monoclinic. The space-group type is C2.

=====

MgPa2Pt5 | GGA-PBE | optimized geometry

Cell lengths 8.597, 8.597, 12.100 Å; angles 90.00, 90.00, 154.68 degrees
Positions (direct):
Mg  0.175  0.825  0.750
Mg  0.825  0.175  0.250
Pa  0.110  0.890  0.055
Pa  0.110  0.890  0.445
Pa  0.890  0.110  0.555
Pa  0.890  0.110  0.945
Pt  0.036  0.964  0.640
Pt  0.036  0.964  0.860
Pt  0.205  0.795  0.250
Pt  0.273  0.727  0.578
Pt  0.273  0.727  0.922
Pt  0.727  0.273  0.078
Pt  0.727  0.273  0.422
Pt  0.795  0.205  0.750
Pt  0.964  0.036  0.140
Pt  0.964  0.036  0.360

The calculation puts the formation energy at -427 meV/atom. The crystal system is orthorhombic. The space-group type is Cmcm.